[1]
12
Lattice="10.367 0.000 0.000 0.000 4.217 0.000 -4.653 0.000 9.822" Properties=species:S:1:pos:R:3 comment="CsPaNiTe3 GGA-PBE optimized geometry" sg=P2_1/m e_form_raw_ev_per_atom=-0.8023 total_magnetization_mub_per_fu=0.001 energy_ev_per_atom=-5.062 pbc="T T T"
Cs 1.112 1.054 2.656
Cs 4.602 3.162 7.166
Pa -0.765 3.162 8.190
Pa 6.479 1.054 1.632
Ni -1.813 1.054 6.378
Ni 7.528 3.162 3.444
Te -2.928 1.054 8.649
Te -0.770 3.162 5.243
Te 4.185 3.162 1.507
Te 1.529 1.054 8.315
Te 6.484 1.054 4.579
Te 8.642 3.162 1.173

[2]
12
Lattice="5.739 0.000 0.000 0.000 5.739 0.000 0.000 0.000 5.739" Properties=species:S:1:pos:R:3 comment="BeTlRu GGA-PBE optimized geometry" sg=F-43m total_magnetization_mub_per_fu=0.000 de_polymorph_mev_per_atom=218.1 energy_ev_per_atom=-4.683 pbc="T T T"
Be 0.000 0.000 0.000
Be 0.000 2.869 2.869
Be 2.869 0.000 2.869
Be 2.869 2.869 0.000
Tl 1.435 1.435 4.304
Tl 1.435 4.304 1.435
Tl 4.304 1.435 1.435
Tl 4.304 4.304 4.304
Ru 1.435 1.435 1.435
Ru 1.435 4.304 4.304
Ru 4.304 1.435 4.304
Ru 4.304 4.304 1.435

[3]
10
Lattice="4.121 0.000 0.000 0.000 4.121 0.000 0.000 0.000 11.189" Properties=species:S:1:pos:R:3 comment="Ho2MgAl4Pt3 GGA-PBE optimized geometry" sg=P-4m2 total_magnetization_mub_per_fu=0.000 energy_ev_per_atom=-5.317 pbc="T T T"
Ho 0.000 2.060 2.641
Ho 2.060 0.000 8.548
Mg 0.000 0.000 5.595
Al 0.000 0.000 0.000
Al 0.000 2.060 7.240
Al 2.060 0.000 3.949
Al 2.060 2.060 0.000
Pt 0.000 2.060 9.700
Pt 2.060 0.000 1.489
Pt 2.060 2.060 5.595